Entry 1:
The following is a PBE calculation of crystalline Ba2InRh2 at its relaxed geometry, from Alexandria.

As for the energy of formation: 0.053 eV/f.u. For the calculated density, the calculation gives 6.679 Mg/m³. The uncorrected energy comes out at -4.247 eV/atom.

The structure belongs to space group I4/mmm (No. 139); the cell edges are 3.729, 3.729 and 21.290 Å and the angles 90.00°, 90.00° and 90.00°. The asymmetric unit holds Ba at (0.000, 0.000, 0.124), In at (0.000, 0.000, 0.500) and Rh at (0.000, 0.500, 0.250).

Entry 2:
The following is a PBE calculation of crystalline DyAg6 at its relaxed geometry, from Alexandria.

As for the energy of formation: 4.500 eV/f.u. For the calculated density, the calculation gives 6.823 Mg/m³. The uncorrected energy comes out at -2.459 eV/atom.

The structure belongs to space group Im-3m (No. 229); the cell edges are 7.332, 7.332 and 7.332 Å and the angles 90.00°, 90.00° and 90.00°. The asymmetric unit holds Dy at (0.000, 0.000, 0.000) and Ag at (0.000, 0.250, 0.500).

Entry 3:
The following is a PBE calculation of crystalline AlTe2Pb at its relaxed geometry, from Alexandria.

For the calculated density, the calculation gives 6.815 Mg/m³. The uncorrected energy comes out at -3.445 eV/atom.

The structure belongs to space group Pm (No. 6); the cell edges are 3.253, 6.027 and 6.081 Å and the angles 90.00°, 91.05° and 90.00°. The asymmetric unit holds Al at (0.000, 0.000, 0.000), Te at (0.011, 0.000, 0.500), Te at (0.986, 0.500, 0.000) and Pb at (0.669, 0.500, 0.498).

calculated density of number 2 (DyAg6)? 6.823 Mg/m³

What is the uncorrected energy in the first record? -4.247 eV/atom